Record 1
## LaPm3N (GGA-PBE)

Data for an optimized crystal structure of LaPm3N.

Geometry as CIF:
```
data_LaPm3N
_space_group_name_H-M_alt 'P m -3 m'
_space_group_IT_number 221
_space_group_name_Hall '-P 4 2 3'
_cell_length_a 5.139
_cell_length_b 5.139
_cell_length_c 5.139
_cell_angle_alpha 90.00
_cell_angle_beta 90.00
_cell_angle_gamma 90.00
loop_
_atom_site_label
_atom_site_fract_x
_atom_site_fract_y
_atom_site_fract_z
_atom_site_occupancy
La1 0.000 0.000 0.000 1
Pm1 0.000 0.500 0.500 1
N1 0.500 0.500 0.500 1
```

Computed properties:
ΔE_f (raw) ... -427 meV per atom
Density of states at the Fermi level ... 7.6 states/eV per cell
Total energy ... -5.928 eV per atom

=====

Record 2
## ZrAl3Sb (GGA-PBE)

Data for an optimized crystal structure of ZrAl3Sb.

Geometry as CIF:
```
data_ZrAl3Sb
_space_group_name_H-M_alt 'P m -3 m'
_space_group_IT_number 221
_space_group_name_Hall '-P 4 2 3'
_cell_length_a 5.240
_cell_length_b 5.240
_cell_length_c 5.240
_cell_angle_alpha 90.00
_cell_angle_beta 90.00
_cell_angle_gamma 90.00
loop_
_atom_site_label
_atom_site_fract_x
_atom_site_fract_y
_atom_site_fract_z
_atom_site_occupancy
Zr1 0.000 0.000 0.000 1
Al1 0.000 0.000 0.500 1
Sb1 0.500 0.500 0.500 1
```

Computed properties:
ΔE_f (raw) ... 922 meV per atom
Density of states at the Fermi level ... 4.8 states/eV per cell
Distance to the lowest polymorph of the same formula ... 0.0 meV/atom
Total energy ... -3.857 eV per atom

=====

Record 3
## Mg2H4Rh (GGA-PBE)

Data for an optimized crystal structure of Mg2H4Rh.

Geometry as CIF:
```
data_Mg2H4Rh
_space_group_name_H-M_alt 'C 1 2/m 1'
_space_group_IT_number 12
_cell_length_a 9.413
_cell_length_b 3.348
_cell_length_c 4.480
_cell_angle_alpha 90.00
_cell_angle_beta 109.05
_cell_angle_gamma 90.00
loop_
_space_group_symop_operation_xyz
'x,y,z'
'-x,-y,-z'
'-x,y,-z'
'x,-y,z'
'x+1/2,y+1/2,z'
'-x+1/2,-y+1/2,-z'
'-x+1/2,y+1/2,-z'
'x+1/2,-y+1/2,z'
loop_
_atom_site_label
_atom_site_fract_x
_atom_site_fract_y
_atom_site_fract_z
_atom_site_occupancy
Mg1 0.164 0.000 0.179 1
H1 0.054 0.000 0.710 1
H2 0.162 0.500 0.403 1
Rh1 0.000 0.500 0.500 1
```

Computed properties:
Density of states at the Fermi level ... 1.8 states/eV per cell
Distance to the lowest polymorph of the same formula ... 201.4 meV/atom
Total energy ... -3.540 eV per atom

=====

Record 4
## Ac2CePrRh2 (GGA-PBE)

Data for an optimized crystal structure of Ac2CePrRh2.

Geometry as CIF:
```
data_Ac2CePrRh2
_space_group_name_H-M_alt 'I b a m'
_space_group_IT_number 72
_space_group_name_Hall '-I 2 2c'
_cell_length_a 7.297
_cell_length_b 13.926
_cell_length_c 7.145
_cell_angle_alpha 90.00
_cell_angle_beta 90.00
_cell_angle_gamma 90.00
loop_
_atom_site_label
_atom_site_fract_x
_atom_site_fract_y
_atom_site_fract_z
_atom_site_occupancy
Ac1 0.205 0.196 0.000 1
Ce1 0.000 0.000 0.250 1
Pr1 0.000 0.500 0.250 1
Rh1 0.220 0.095 0.500 1
```

Computed properties:
Density of states at the Fermi level ... 31.1 states/eV per cell
E_form ... -46 kJ/mol of atoms
Total energy ... -6.081 eV per atom

=====

Record 5
## MgCu3Se (GGA-PBE)

Data for an optimized crystal structure of MgCu3Se.

Geometry as CIF:
```
data_MgCu3Se
_space_group_name_H-M_alt 'C m c m'
_space_group_IT_number 63
_space_group_name_Hall '-C 2c 2'
_cell_length_a 7.151
_cell_length_b 9.584
_cell_length_c 5.096
_cell_angle_alpha 90.00
_cell_angle_beta 90.00
_cell_angle_gamma 90.00
loop_
_atom_site_label
_atom_site_fract_x
_atom_site_fract_y
_atom_site_fract_z
_atom_site_occupancy
Mg1 0.000 0.000 0.000 1
Cu1 0.000 0.292 0.250 1
Cu2 0.177 0.465 0.750 1
Se1 0.000 0.252 0.750 1
```

Computed properties:
ΔE_f (raw) ... 216 meV per atom
Density of states at the Fermi level ... 5.9 states/eV per cell
Distance to the lowest polymorph of the same formula ... 376.8 meV/atom
Total energy ... -3.258 eV per atom

=====

Record 6
## LiSbCl2 (GGA-PBE)

Data for an optimized crystal structure of LiSbCl2.

Geometry as CIF:
```
data_LiSbCl2
_space_group_name_H-M_alt 'P m m 2'
_space_group_IT_number 25
_cell_length_a 3.407
_cell_length_b 4.951
_cell_length_c 5.953
_cell_angle_alpha 90.00
_cell_angle_beta 90.00
_cell_angle_gamma 90.00
loop_
_space_group_symop_operation_xyz
'x,y,z'
'-x,-y,z'
'-x,y,z'
'x,-y,z'
loop_
_atom_site_label
_atom_site_fract_x
_atom_site_fract_y
_atom_site_fract_z
_atom_site_occupancy
Li1 0.000 0.000 0.000 1
Sb1 0.500 0.500 0.550 1
Cl1 0.000 0.000 0.608 1
Cl2 0.500 0.500 0.045 1
```

Computed properties:
ΔE_f (raw) ... -635 meV per atom
Density of states at the Fermi level ... 2.2 states/eV per cell
Distance to the lowest polymorph of the same formula ... 442.0 meV/atom
Total energy ... -3.068 eV per atom

=====

Record 7
## HoErBeCu (GGA-PBE)

Data for an optimized crystal structure of HoErBeCu.

Geometry as CIF:
```
data_HoErBeCu
_space_group_name_H-M_alt 'F -4 3 m'
_space_group_IT_number 216
_space_group_name_Hall 'F -4 2 3'
_cell_length_a 6.836
_cell_length_b 6.836
_cell_length_c 6.836
_cell_angle_alpha 90.00
_cell_angle_beta 90.00
_cell_angle_gamma 90.00
loop_
_atom_site_label
_atom_site_fract_x
_atom_site_fract_y
_atom_site_fract_z
_atom_site_occupancy
Ho1 0.000 0.000 0.000 1
Er1 0.000 0.000 0.500 1
Be1 0.250 0.250 0.750 1
Cu1 0.250 0.250 0.250 1
```

Computed properties:
Density of states at the Fermi level ... 8.8 states/eV per cell
E_form ... -8 kJ/mol of atoms
Total energy ... -4.323 eV per atom

=====

Record 8
## Bi2OsPt (GGA-PBE)

Data for an optimized crystal structure of Bi2OsPt.

Geometry as CIF:
```
data_Bi2OsPt
_space_group_name_H-M_alt 'F m -3 m'
_space_group_IT_number 225
_space_group_name_Hall '-F 4 2 3'
_cell_length_a 6.952
_cell_length_b 6.952
_cell_length_c 6.952
_cell_angle_alpha 90.00
_cell_angle_beta 90.00
_cell_angle_gamma 90.00
loop_
_atom_site_label
_atom_site_fract_x
_atom_site_fract_y
_atom_site_fract_z
_atom_site_occupancy
Bi1 0.250 0.250 0.250 1
Os1 0.000 0.000 0.000 1
Pt1 0.000 0.000 0.500 1
```

Computed properties:
Density of states at the Fermi level ... 13.4 states/eV per cell
E_form ... 59 kJ/mol of atoms
Distance to the lowest polymorph of the same formula ... 0.0 meV/atom
Total energy ... -5.642 eV per atom

=====

Record 9
## NaCa3Ga2 (GGA-PBE)

Data for an optimized crystal structure of NaCa3Ga2.

Geometry as CIF:
```
data_NaCa3Ga2
_space_group_name_H-M_alt 'P 4/m m m'
_space_group_IT_number 123
_space_group_name_Hall '-P 4 2'
_cell_length_a 3.725
_cell_length_b 3.725
_cell_length_c 12.665
_cell_angle_alpha 90.00
_cell_angle_beta 90.00
_cell_angle_gamma 90.00
loop_
_atom_site_label
_atom_site_fract_x
_atom_site_fract_y
_atom_site_fract_z
_atom_site_occupancy
Na1 0.000 0.000 0.000 1
Ca1 0.500 0.500 0.221 1
Ca2 0.500 0.500 0.500 1
Ga1 0.000 0.000 0.356 1
```

Computed properties:
Density of states at the Fermi level ... 4.3 states/eV per cell
E_form ... -29 kJ/mol of atoms
Total energy ... -2.526 eV per atom

=====

Record 10
## CaPrBiO (GGA-PBE)

Data for an optimized crystal structure of CaPrBiO.

Geometry as CIF:
```
data_CaPrBiO
_space_group_name_H-M_alt 'P 4/n m m'
_space_group_IT_number 129
_cell_length_a 4.768
_cell_length_b 4.768
_cell_length_c 9.022
_cell_angle_alpha 90.00
_cell_angle_beta 90.00
_cell_angle_gamma 90.00
loop_
_space_group_symop_operation_xyz
'x,y,z'
'-x,-y,-z'
'-y+1/2,x,z'
'y+1/2,-x,-z'
'-x+1/2,-y+1/2,z'
'x+1/2,y+1/2,-z'
'y,-x+1/2,z'
'-y,x+1/2,-z'
'x+1/2,-y,-z'
'-x+1/2,y,z'
'-y,-x,-z'
'y,x,z'
'-x,y+1/2,-z'
'x,-y+1/2,z'
'y+1/2,x+1/2,-z'
'-y+1/2,-x+1/2,z'
loop_
_atom_site_label
_atom_site_fract_x
_atom_site_fract_y
_atom_site_fract_z
_atom_site_occupancy
Ca1 0.250 0.250 0.166 1
Pr1 0.250 0.750 0.500 1
Bi1 0.250 0.250 0.799 1
O1 0.250 0.250 0.422 1
```

Computed properties:
ΔE_f (raw) ... -1879 meV per atom
Density of states at the Fermi level ... 1.8 states/eV per cell
Total energy ... -5.784 eV per atom

=====

Record 11
## Na4AlAu4 (GGA-PBE)

Data for an optimized crystal structure of Na4AlAu4.

Geometry as CIF:
```
data_Na4AlAu4
_space_group_name_H-M_alt 'I -4 2 m'
_space_group_IT_number 121
_space_group_name_Hall 'I -4 2'
_cell_length_a 5.544
_cell_length_b 5.544
_cell_length_c 13.075
_cell_angle_alpha 90.00
_cell_angle_beta 90.00
_cell_angle_gamma 90.00
loop_
_atom_site_label
_atom_site_fract_x
_atom_site_fract_y
_atom_site_fract_z
_atom_site_occupancy
Na1 0.227 0.227 0.319 1
Al1 0.000 0.000 0.500 1
Au1 0.200 0.200 0.074 1
```

Computed properties:
Density of states at the Fermi level ... 3.9 states/eV per cell
E_form ... -23 kJ/mol of atoms
Total energy ... -2.697 eV per atom

=====

Record 12
## Sr2As4PdAu3 (GGA-PBE)

Data for an optimized crystal structure of Sr2As4PdAu3.

Geometry as CIF:
```
data_Sr2As4PdAu3
_space_group_name_H-M_alt 'P -4 m 2'
_space_group_IT_number 115
_cell_length_a 4.577
_cell_length_b 4.577
_cell_length_c 10.626
_cell_angle_alpha 90.00
_cell_angle_beta 90.00
_cell_angle_gamma 90.00
loop_
_space_group_symop_operation_xyz
'x,y,z'
'y,-x,-z'
'-x,-y,z'
'-y,x,-z'
'-x,y,z'
'-y,-x,-z'
'x,-y,z'
'y,x,-z'
loop_
_atom_site_label
_atom_site_fract_x
_atom_site_fract_y
_atom_site_fract_z
_atom_site_occupancy
Sr1 0.000 0.500 0.246 1
As1 0.000 0.000 0.500 1
As2 0.000 0.500 0.874 1
As3 0.500 0.500 0.500 1
Pd1 0.500 0.500 0.000 1
Au1 0.000 0.000 0.000 1
Au2 0.000 0.500 0.634 1
```

Computed properties:
Density of states at the Fermi level ... 3.4 states/eV per cell
E_form ... -55 kJ/mol of atoms
Total energy ... -4.272 eV per atom

=====

Record 13
## NaAlCu2Se4 (GGA-PBE)

Data for an optimized crystal structure of NaAlCu2Se4.

Geometry as CIF:
```
data_NaAlCu2Se4
_space_group_name_H-M_alt 'I -4 2 m'
_space_group_IT_number 121
_space_group_name_Hall 'I -4 2'
_cell_length_a 6.203
_cell_length_b 6.203
_cell_length_c 9.820
_cell_angle_alpha 90.00
_cell_angle_beta 90.00
_cell_angle_gamma 90.00
loop_
_atom_site_label
_atom_site_fract_x
_atom_site_fract_y
_atom_site_fract_z
_atom_site_occupancy
Na1 0.000 0.000 0.000 1
Al1 0.000 0.000 0.500 1
Cu1 0.000 0.500 0.250 1
Se1 0.222 0.222 0.357 1
```

Computed properties:
ΔE_f (raw) ... -494 meV per atom
Density of states at the Fermi level ... 16.0 states/eV per cell
Total energy ... -3.893 eV per atom